(1)
This record from Alexandria via LeMat-Bulk describes a relaxed Sm2NiHRh6 crystal. The functional is PBE.

a = 5.5726 Å, b = 5.5726 Å, c = 6.7797 Å
α = 114.26°, β = 114.26°, γ = 59.97°
With the nearest neighbours (Å) after each atom.
Positions (direct):
Sm (0.2158, 0.2158, 0.1479)  9 Rh 2.98-3.28
Sm (0.7842, 0.7842, 0.8521)  9 Rh 2.98-3.28
Ni (0.5000, 0.5000, 0.0000)  6 Rh 2.48
H (0.0000, 0.0000, 0.5000)  6 Rh 1.97
Rh (0.2314, 0.7145, 0.6766)  1 H 1.97
Rh (0.2315, 0.2315, 0.6751)  1 H 1.97
Rh (0.2855, 0.7686, 0.3234)  1 H 1.97
Rh (0.7145, 0.2314, 0.6766)  1 H 1.97
Rh (0.7685, 0.7685, 0.3249)  1 H 1.97
Rh (0.7686, 0.2855, 0.3234)  1 H 1.97

Values from the calculation:
M_tot = 0.00 μB/atom
Crystal system = monoclinic

***

(2)
This record from Alexandria via LeMat-Bulk describes a relaxed Ac2TaRu2N6 crystal. The functional is PBE.

a = 6.4545 Å, b = 6.4545 Å, c = 6.4545 Å
α = 55.62°, β = 55.62°, γ = 55.62°
With the nearest neighbours (Å) after each atom.
Positions (direct):
Ac (0.2199, 0.2199, 0.2199)  9 N 2.80-3.06
Ac (0.7801, 0.7801, 0.7801)  9 N 2.80-3.06
Ta (0.0000, 0.0000, 0.0000)  6 N 2.08
Ru (0.4283, 0.4283, 0.4283)  3 N 1.87
Ru (0.5717, 0.5717, 0.5717)  3 N 1.87
N (0.2308, 0.7649, 0.7649)  1 Ru 1.87, 1 Ta 2.08
N (0.2351, 0.2351, 0.7692)  1 Ru 1.87, 1 Ta 2.08
N (0.2351, 0.7692, 0.2351)  1 Ru 1.87, 1 Ta 2.08
N (0.7649, 0.2308, 0.7649)  1 Ru 1.87, 1 Ta 2.08
N (0.7649, 0.7649, 0.2308)  1 Ru 1.87, 1 Ta 2.08
N (0.7692, 0.2351, 0.2351)  1 Ru 1.87, 1 Ta 2.08

Values from the calculation:
M_tot = 0.00 μB/atom
Formation energy (no corrections) = -0.4436 eV/atom
Crystal system = trigonal

***

(3)
This record from Alexandria via LeMat-Bulk describes a relaxed Be4AgAu4 crystal. The functional is PBE.

a = 7.6085 Å, b = 7.6085 Å, c = 4.4355 Å
α = 90.00°, β = 90.00°, γ = 90.00°
With the nearest neighbours (Å) after each atom.
Positions (direct):
Be (0.0474, 0.1392, 0.1460)  4 Au 2.31-2.49, 1 Ag 2.48, 1 Be 2.59
Be (0.1392, 0.4526, 0.3540)  4 Au 2.31-2.49, 1 Ag 2.48, 1 Be 2.59
Be (0.3608, 0.0474, 0.3540)  4 Au 2.31-2.49, 1 Ag 2.48, 1 Be 2.59
Be (0.4526, 0.3608, 0.1460)  4 Au 2.31-2.49, 1 Ag 2.48, 1 Be 2.59
Be (0.5474, 0.6392, 0.8540)  4 Au 2.31-2.49, 1 Ag 2.48, 1 Be 2.59
Be (0.6392, 0.9526, 0.6460)  4 Au 2.31-2.49, 1 Ag 2.48, 1 Be 2.59
Be (0.8608, 0.5474, 0.6460)  4 Au 2.31-2.49, 1 Ag 2.48, 1 Be 2.59
Be (0.9526, 0.8608, 0.8540)  4 Au 2.31-2.49, 1 Ag 2.48, 1 Be 2.59
Ag (0.2500, 0.2500, 0.7500)  4 Be 2.48
Ag (0.7500, 0.7500, 0.2500)  4 Be 2.48
Au (0.0969, 0.8638, 0.3506)  4 Be 2.31-2.49
Au (0.1362, 0.5969, 0.8506)  4 Be 2.31-2.49
Au (0.3638, 0.9031, 0.8506)  4 Be 2.31-2.49
Au (0.4031, 0.6362, 0.3506)  4 Be 2.31-2.49
Au (0.5969, 0.3638, 0.6494)  4 Be 2.31-2.49
Au (0.6362, 0.0969, 0.1494)  4 Be 2.31-2.49
Au (0.8638, 0.4031, 0.1494)  4 Be 2.31-2.49
Au (0.9031, 0.1362, 0.6494)  4 Be 2.31-2.49

Values from the calculation:
M_tot = 0.00 μB/atom
Formation energy = 29 meV per atom
Crystal system = tetragonal

***

(4)
This record from Alexandria via LeMat-Bulk describes a relaxed CeSnN crystal. The functional is PBE.

a = 6.3101 Å, b = 6.3101 Å, c = 6.3101 Å
α = 148.47°, β = 148.47°, γ = 45.19°
With the nearest neighbours (Å) after each atom.
Positions (direct):
Ce (0.0000, 0.0000, 0.0000)  4 N 2.43
Sn (0.2923, 0.2923, 0.0000)  1 N 2.28
N (0.4881, 0.4881, 0.0000)  1 Sn 2.28, 4 Ce 2.43

Values from the calculation:
Offset from the most stable computed form = 0.357 eV/atom
M_tot = 0.13 μB/atom
Formation energy (no corrections) = -0.7095 eV/atom
Crystal system = tetragonal

***

(5)
This record from Alexandria via LeMat-Bulk describes a relaxed Nd2PaCrN4 crystal. The functional is PBE.

a = 6.0016 Å, b = 6.0016 Å, c = 12.1991 Å
α = 90.00°, β = 90.00°, γ = 147.06°
With the nearest neighbours (Å) after each atom.
Positions (direct):
Nd (0.1329, 0.8671, 0.5493)  4 N 2.37-2.62
Nd (0.1329, 0.8671, 0.9507)  4 N 2.37-2.62
Nd (0.8671, 0.1329, 0.0493)  4 N 2.37-2.62
Nd (0.8671, 0.1329, 0.4507)  4 N 2.37-2.62
Pa (0.3939, 0.6061, 0.7500)  6 N 2.49
Pa (0.6061, 0.3939, 0.2500)  6 N 2.49
Cr (0.3409, 0.6591, 0.2500)  4 N 1.95-2.10
Cr (0.6591, 0.3409, 0.7500)  4 N 1.95-2.10
N (0.0515, 0.9485, 0.7500)  2 Cr 2.10
N (0.2156, 0.7844, 0.1429)  1 Cr 1.95
N (0.2156, 0.7844, 0.3571)  1 Cr 1.95
N (0.5000, 0.5000, 0.0000)  4 Nd 2.37
N (0.5000, 0.5000, 0.5000)  4 Nd 2.37
N (0.7844, 0.2156, 0.6429)  1 Cr 1.95
N (0.7844, 0.2156, 0.8571)  1 Cr 1.95
N (0.9485, 0.0515, 0.2500)  2 Cr 2.10

Values from the calculation:
M_tot = 0.35 μB/atom
Formation energy (no corrections) = -1.0280 eV/atom
Crystal system = orthorhombic

***

(6)
This record from Alexandria via LeMat-Bulk describes a relaxed Tl2Ga3CuAu12 crystal. The functional is PBE.

a = 8.2484 Å, b = 8.2484 Å, c = 8.2484 Å
α = 61.28°, β = 61.28°, γ = 61.28°
With the nearest neighbours (Å) after each atom.
Positions (direct):
Tl (0.1250, 0.1250, 0.1250)  6 Au 2.91-2.94
Tl (0.8750, 0.8750, 0.8750)  6 Au 2.91-2.94
Ga (0.0000, 0.5000, 0.5000)  6 Au 2.56-2.57
Ga (0.5000, 0.0000, 0.5000)  6 Au 2.56-2.57
Ga (0.5000, 0.5000, 0.0000)  6 Au 2.56-2.57
Cu (0.5000, 0.5000, 0.5000)  6 Au 2.56
Au (0.1245, 0.1245, 0.6238)  2 Ga 2.57
Au (0.1245, 0.6238, 0.1245)  2 Ga 2.57
Au (0.1267, 0.6284, 0.6284)  1 Cu 2.56, 1 Ga 2.56
Au (0.3716, 0.3716, 0.8733)  1 Cu 2.56, 1 Ga 2.56
Au (0.3716, 0.8733, 0.3716)  1 Cu 2.56, 1 Ga 2.56
Au (0.3762, 0.8755, 0.8755)  2 Ga 2.57
Au (0.6238, 0.1245, 0.1245)  2 Ga 2.57
Au (0.6284, 0.1267, 0.6284)  1 Cu 2.56, 1 Ga 2.56
Au (0.6284, 0.6284, 0.1267)  1 Cu 2.56, 1 Ga 2.56
Au (0.8733, 0.3716, 0.3716)  1 Cu 2.56, 1 Ga 2.56
Au (0.8755, 0.3762, 0.8755)  2 Ga 2.57
Au (0.8755, 0.8755, 0.3762)  2 Ga 2.57

Values from the calculation:
M_tot = 0.00 μB/atom
Formation energy = 59 meV per atom
Crystal system = trigonal

***

(7)
This record from Alexandria via LeMat-Bulk describes a relaxed Na10B17C3 crystal. The functional is PBE.

a = 8.6974 Å, b = 13.4375 Å, c = 13.4375 Å
α = 12.04°, β = 90.00°, γ = 90.00°
With the nearest neighbours (Å) after each atom.
Positions (direct):
Na (0.2490, 0.0000, 0.0000)  11 B 2.68-2.91, 2 Na 2.82, 1 C 2.88
Na (0.2500, 0.2016, 0.2016)  11 B 2.69-2.99, 1 C 2.81, 2 Na 2.82
Na (0.2505, 0.4004, 0.4004)  9 B 2.69-2.93, 3 C 2.71-2.76, 4 Na 2.82-3.00
Na (0.2500, 0.6009, 0.6009)  12 B 2.71-2.95, 2 Na 2.82
Na (0.2497, 0.8015, 0.8015)  8 B 2.66-2.81, 4 C 2.74-2.76, 2 Na 2.82
Na (0.7500, 0.2016, 0.2016)  11 B 2.69-2.99, 1 C 2.81, 2 Na 2.82
Na (0.7495, 0.4004, 0.4004)  9 B 2.69-2.93, 3 C 2.71-2.76, 4 Na 2.82-3.00
Na (0.7500, 0.6009, 0.6009)  12 B 2.71-2.95, 2 Na 2.82
Na (0.7503, 0.8015, 0.8015)  8 B 2.66-2.81, 4 C 2.74-2.76, 2 Na 2.82
Na (0.7510, 0.0000, 0.0000)  11 B 2.68-2.91, 2 Na 2.82, 1 C 2.88
B (0.0000, 0.0670, 0.0670)  3 B 1.70-1.78
B (0.0000, 0.1308, 0.1308)  3 B 1.70-1.82
B (0.0000, 0.2784, 0.2784)  1 C 1.57
B (0.0000, 0.4592, 0.4592)  2 C 1.62, 1 B 1.80
B (0.0000, 0.5264, 0.5264)  3 B 1.78-1.80
B (0.0000, 0.6740, 0.6740)  3 B 1.69-1.82
B (0.0000, 0.7370, 0.7370)  3 B 1.69-1.79
B (0.0000, 0.8681, 0.8681)  3 C 1.63
B (0.5000, 0.0719, 0.0719)  3 B 1.69-1.77
B (0.5000, 0.1351, 0.1351)  3 B 1.69-1.74
B (0.5000, 0.3267, 0.3267)  1 C 1.56
B (0.5000, 0.4693, 0.4693)  3 B 1.67-1.78
B (0.5000, 0.5317, 0.5317)  3 B 1.67-1.77
B (0.5000, 0.6735, 0.6735)  3 B 1.74
B (0.5000, 0.7388, 0.7388)  2 C 1.61, 1 B 1.74
B (0.5000, 0.8661, 0.8661)  3 B 1.67-1.76
B (0.5000, 0.9285, 0.9285)  3 B 1.67-1.78
C (0.0000, 0.3373, 0.3373)  3 B 1.57-1.63
C (0.0000, 0.9291, 0.9291)  3 B 1.62-1.63
C (0.5000, 0.2682, 0.2682)  3 B 1.56-1.61

Values from the calculation:
Offset from the most stable computed form = 0.005 eV/atom
M_tot = 0.00 μB/atom
Formation energy = 210 meV per atom
Crystal system = orthorhombic

***

(8)
This record from Alexandria via LeMat-Bulk describes a relaxed CeDy2ReN4 crystal. The functional is PBE.

a = 6.1054 Å, b = 6.1054 Å, c = 11.6205 Å
α = 90.00°, β = 90.00°, γ = 147.58°
With the nearest neighbours (Å) after each atom.
Positions (direct):
Ce (0.1123, 0.8877, 0.7500)  6 N 2.55-2.62
Ce (0.8877, 0.1123, 0.2500)  6 N 2.55-2.62
Dy (0.3691, 0.6309, 0.5408)  5 N 2.32-2.55
Dy (0.3691, 0.6309, 0.9592)  5 N 2.32-2.55
Dy (0.6309, 0.3691, 0.0408)  5 N 2.32-2.55
Dy (0.6309, 0.3691, 0.4592)  5 N 2.32-2.55
Re (0.1456, 0.8544, 0.2500)  4 N 1.99-2.04
Re (0.8544, 0.1456, 0.7500)  4 N 1.99-2.04
N (0.0000, 0.0000, 0.0000)  4 Dy 2.34
N (0.0000, 0.0000, 0.5000)  4 Dy 2.34
N (0.2669, 0.7331, 0.1297)  1 Re 1.99
N (0.2669, 0.7331, 0.3703)  1 Re 1.99
N (0.4506, 0.5494, 0.7500)  2 Re 2.04
N (0.5494, 0.4506, 0.2500)  2 Re 2.04
N (0.7331, 0.2669, 0.6297)  1 Re 1.99
N (0.7331, 0.2669, 0.8703)  1 Re 1.99

Values from the calculation:
M_tot = 0.01 μB/atom
Formation energy (no corrections) = -1.0556 eV/atom
Crystal system = orthorhombic

***

Number 1: E_tot -6.61 eV/atom. Number 2: E_tot -8.50 eV/atom. Number 3: E_tot -3.40 eV/atom. Number 4: E_tot -6.80 eV/atom. Number 5: E_tot -8.77 eV/atom. Number 6: E_tot -3.12 eV/atom. Number 7: E_tot -4.94 eV/atom. Number 8: E_tot -8.67 eV/atom.